Material: Pr2SmTh2
Method: DFT, PBE
State: relaxed

Lattice parameters (Å, degrees): 3.6238 3.6238 13.2526 97.86 97.86 90.00
Fractional coordinates of all 5 atoms:
Sm (0.0000, 0.0000, 0.0000)
Th (0.7965, 0.7965, 0.5930)
Th (0.2035, 0.2035, 0.4070)
Pr (0.3959, 0.3959, 0.7917)
Pr (0.6041, 0.6041, 0.2083)

Values from the calculation:
Its space-group type is I4/mmm (139). The formation energy comes out at 0.037 eV/atom. The crystal system is tetragonal.



Material: Ca2Cu2PdAu5
Method: DFT, PBE
State: relaxed

Lattice parameters (Å, degrees): 3.9671 9.7440 9.7440 90.00 90.00 90.00
Fractional coordinates of all 20 atoms:
Au (0.5000, 0.9365, 0.2030)
Au (0.5000, 0.4365, 0.2970)
Au (0.5000, 0.0000, 0.5000)
Au (0.5000, 0.7030, 0.4365)
Au (0.5000, 0.0635, 0.7970)
Au (0.5000, 0.7970, 0.9365)
Au (0.5000, 0.2030, 0.0635)
Au (0.5000, 0.2970, 0.5635)
Au (0.5000, 0.5635, 0.7030)
Au (0.5000, 0.5000, 0.0000)
Cu (0.0000, 0.1217, 0.6217)
Cu (0.0000, 0.6217, 0.8783)
Cu (0.0000, 0.8783, 0.3783)
Cu (0.0000, 0.3783, 0.1217)
Ca (0.0000, 0.3221, 0.8221)
Ca (0.0000, 0.8221, 0.6779)
Ca (0.0000, 0.6779, 0.1779)
Ca (0.0000, 0.1779, 0.3221)
Pd (0.0000, 0.0000, 0.0000)
Pd (0.0000, 0.5000, 0.5000)

Values from the calculation:
Its space-group type is P4/mbm (127). The formation energy comes out at -0.433 eV/atom. The crystal system is tetragonal.



Material: Sr2InH2
Method: DFT, PBE
State: relaxed

Lattice parameters (Å, degrees): 7.9459 7.9459 3.4398 90.00 90.00 90.00
Fractional coordinates of all 10 atoms:
Sr (0.8331, 0.3331, 0.5000)
Sr (0.1669, 0.6669, 0.5000)
Sr (0.6669, 0.8331, 0.5000)
Sr (0.3331, 0.1669, 0.5000)
H (0.6103, 0.1103, 0.0000)
H (0.3897, 0.8897, 0.0000)
H (0.1103, 0.3897, 0.0000)
H (0.8897, 0.6103, 0.0000)
In (0.0000, 0.0000, 0.0000)
In (0.5000, 0.5000, 0.0000)

Values from the calculation:
Its space-group type is P4/mbm (127). The crystal system is tetragonal. The offset from the most stable computed form comes out at 29.85 kJ per mole of atoms.



Material: LiYSe2
Method: DFT, PBE
State: relaxed

Lattice parameters (Å, degrees): 4.8997 4.9091 3.5554 90.00 90.00 90.00
Fractional coordinates of all 4 atoms:
Li (0.0000, 0.5000, 0.5000)
Se (0.0000, 0.0000, 0.0000)
Se (0.5000, 0.5000, 0.0000)
Y (0.5000, 0.0000, 0.5000)

Values from the calculation:
The final energy comes out at -5.1614 eV per atom. Its space-group type is P4/mmm (123). The crystal system is tetragonal.



Material: TaNb2F
Method: DFT, PBE
State: relaxed

Lattice parameters (Å, degrees): 4.5525 4.5525 4.5525 60.00 60.00 60.00
Fractional coordinates of all 4 atoms:
F (0.0000, 0.0000, 0.0000)
Nb (0.7500, 0.7500, 0.7500)
Nb (0.2500, 0.2500, 0.2500)
Ta (0.5000, 0.5000, 0.5000)

Values from the calculation:
Its space-group type is Fm-3m (225). The crystal system is cubic. The offset from the most stable computed form comes out at 24.75 kJ per mole of atoms.



Material: CdGeRuF2
Method: DFT, PBE
State: relaxed

Lattice parameters (Å, degrees): 4.0259 6.8391 4.0259 90.00 90.00 90.00
Last column: magnetic moment on the atom in μB.
Fractional coordinates of all 5 atoms:
F (0.5000, 0.0000, 0.0000)  0.00
F (0.0000, 0.0000, 0.5000)  0.00
Ru (0.5000, 0.5000, 0.5000)  1.83
Cd (0.0000, 0.0000, 0.0000)  0.00
Ge (0.0000, 0.5000, 0.0000)  -0.06

Values from the calculation:
The final energy comes out at -3.9982 eV per atom. Its space-group type is P4/mmm (123). The crystal system is tetragonal.



Material: LiBeTe2
Method: DFT, PBE
State: relaxed

Lattice parameters (Å, degrees): 7.5865 7.5865 7.5865 155.11 150.48 38.99
Fractional coordinates of all 4 atoms:
Te (0.6911, 0.1911, 0.5000)
Te (0.9632, 0.9632, 0.0000)
Li (0.2989, 0.7989, 0.5000)
Be (0.5469, 0.5469, 0.0000)

Values from the calculation:
The final energy comes out at -3.1085 eV per atom. Its space-group type is Imm2 (44). The crystal system is orthorhombic.



Material: UMnCo2
Method: DFT, PBE
State: relaxed

Lattice parameters (Å, degrees): 2.7477 2.7477 8.7688 80.99 80.99 60.00
Last column: magnetic moment on the atom in μB.
Fractional coordinates of all 4 atoms:
Co (0.2592, 0.2592, 0.2224)  1.18
Co (0.7408, 0.7408, 0.7776)  1.18
U (0.5000, 0.5000, 0.5000)  -0.50
Mn (0.0000, 0.0000, 0.0000)  2.80

Values from the calculation:
Its space-group type is R-3m (166). The formation energy comes out at 0.320 eV/atom. The crystal system is trigonal.



Material: TcSb2Rh
Method: DFT, PBE
State: relaxed

Lattice parameters (Å, degrees): 5.1131 5.1131 4.5811 79.25 79.25 38.27
Fractional coordinates of all 4 atoms:
Sb (0.9987, 0.9987, 0.0734)
Sb (0.7540, 0.7540, 0.6701)
Rh (0.2660, 0.2660, 0.1719)
Tc (0.4813, 0.4813, 0.5846)

Values from the calculation:
Its space-group type is Cm (8). The crystal system is monoclinic. The offset from the most stable computed form comes out at 0.00 kJ per mole of atoms.



Material: Ba2LiHg
Method: DFT, PBE
State: relaxed

Lattice parameters (Å, degrees): 10.5460 10.5460 10.5460 24.89 24.89 24.89
Fractional coordinates of all 4 atoms:
Li (0.7500, 0.7500, 0.7500)
Ba (0.9920, 0.9920, 0.9920)
Ba (0.5080, 0.5080, 0.5080)
Hg (0.2500, 0.2500, 0.2500)

Values from the calculation:
Its space-group type is R-3m (166). The formation energy comes out at -0.099 eV/atom. The crystal system is trigonal.



Material: CdInAs2
Method: DFT, PBE
State: relaxed

Lattice parameters (Å, degrees): 4.9991 4.9991 4.9991 60.00 60.00 60.00
Fractional coordinates of all 4 atoms:
As (0.2500, 0.2500, 0.2500)
As (0.7500, 0.7500, 0.7500)
Cd (0.0000, 0.0000, 0.0000)
In (0.5000, 0.5000, 0.5000)

Values from the calculation:
Its space-group type is Fm-3m (225). The formation energy comes out at 0.245 eV/atom. The crystal system is cubic.



Material: CdBTeN2
Method: DFT, PBE
State: relaxed

Lattice parameters (Å, degrees): 4.1354 4.1354 6.5267 90.00 90.00 90.00
Last column: magnetic moment on the atom in μB.
Fractional coordinates of all 5 atoms:
N (0.5000, 0.0000, 0.0000)  1.16
N (0.0000, 0.5000, 0.0000)  1.16
Cd (0.0000, 0.0000, 0.0000)  0.08
B (0.5000, 0.5000, 0.5000)  0.00
Te (0.0000, 0.0000, 0.5000)  0.19

Values from the calculation:
Its space-group type is P4/mmm (123). The crystal system is tetragonal. The offset from the most stable computed form comes out at 68.64 kJ per mole of atoms.



Material: Ce2BIr5
Method: DFT, PBE
State: relaxed

Lattice parameters (Å, degrees): 5.7753 5.7753 5.8470 119.60 119.60 90.00
Fractional coordinates of all 8 atoms:
Ir (0.7482, 0.7482, 0.4965)
Ir (0.2589, 0.2589, 0.0024)
Ir (0.7436, 0.2589, 0.0025)
Ir (0.7436, 0.7436, 0.0025)
Ir (0.2589, 0.7436, 0.0025)
Ce (0.7516, 0.2516, 0.5033)
Ce (0.2516, 0.7516, 0.5033)
B (0.0206, 0.0206, 0.0412)

Values from the calculation:
Its space-group type is I4mm (107). The formation energy comes out at -0.647 eV/atom. The crystal system is tetragonal.



Material: Zn2SnBiPt
Method: DFT, PBE
State: relaxed

Lattice parameters (Å, degrees): 4.8572 6.0239 4.8572 90.00 90.00 90.00
Fractional coordinates of all 5 atoms:
Bi (0.0000, 0.5000, 0.0000)
Zn (0.5000, 0.0000, 0.0000)
Zn (0.0000, 0.0000, 0.5000)
Sn (0.0000, 0.0000, 0.0000)
Pt (0.5000, 0.5000, 0.5000)

Values from the calculation:
Its space-group type is P4/mmm (123). The formation energy comes out at 0.810 eV/atom. The crystal system is tetragonal.



Material: NbNi3Ir
Method: DFT, PBE
State: relaxed

Lattice parameters (Å, degrees): 5.1333 4.9634 4.9640 86.38 122.31 122.32
Fractional coordinates of all 5 atoms:
Ir (0.5000, 0.0000, 0.0000)
Ni (0.0000, 0.5000, 0.0000)
Ni (0.0000, 0.5000, 0.5000)
Ni (0.0000, 0.0000, 0.5000)
Nb (0.0000, 0.0000, 0.0000)

Values from the calculation:
Its space-group type is C2/m (12). The formation energy comes out at 0.711 eV/atom. The crystal system is monoclinic. The offset from the most stable computed form comes out at 85.49 kJ per mole of atoms.



Material: AcGd2Te
Method: DFT, PBE
State: relaxed

Lattice parameters (Å, degrees): 3.9265 3.9265 8.4883 90.00 90.00 90.00
Last column: magnetic moment on the atom in μB.
Fractional coordinates of all 4 atoms:
Te (0.5000, 0.5000, 0.5000)  -0.04
Ac (0.5000, 0.5000, 0.0000)  -0.01
Gd (0.0000, 0.0000, 0.7052)  7.15
Gd (0.0000, 0.0000, 0.2948)  7.15

Values from the calculation:
Its space-group type is P4/mmm (123). The crystal system is tetragonal. The offset from the most stable computed form comes out at 0.00 kJ per mole of atoms.



Material: Ge3Pb2Au5
Method: DFT, PBE
State: relaxed

Lattice parameters (Å, degrees): 6.2063 9.2320 9.2320 69.31 70.36 70.36
Fractional coordinates of all 20 atoms:
Ge (0.7500, 0.0000, 0.0000)
Ge (0.8868, 0.7479, 0.4785)
Ge (0.2500, 0.0000, 0.0000)
Ge (0.3868, 0.4785, 0.7479)
Ge (0.6132, 0.5215, 0.2521)
Ge (0.1132, 0.2521, 0.5215)
Au (0.7500, 0.5000, 0.5000)
Au (0.8795, 0.9974, 0.2436)
Au (0.9805, 0.2695, 0.2695)
Au (0.5195, 0.7305, 0.7305)
Au (0.6205, 0.7564, 0.0026)
Au (0.1205, 0.0026, 0.7564)
Au (0.3795, 0.2436, 0.9974)
Au (0.4805, 0.2695, 0.2695)
Au (0.0195, 0.7305, 0.7305)
Au (0.2500, 0.5000, 0.5000)
Pb (0.1616, 0.5970, 0.0797)
Pb (0.3384, 0.9203, 0.4030)
Pb (0.6616, 0.0797, 0.5970)
Pb (0.8384, 0.4030, 0.9203)

Values from the calculation:
Its space-group type is Ibam (72). The formation energy comes out at -0.014 eV/atom. The crystal system is orthorhombic.



Material: Y4Co
Method: DFT, PBE
State: relaxed

Lattice parameters (Å, degrees): 5.6707 5.6707 5.6707 105.01 105.01 118.81
Fractional coordinates of all 5 atoms:
Co (0.0000, 0.0000, 0.0000)
Y (0.1734, 0.6604, 0.8337)
Y (0.6604, 0.8266, 0.4870)
Y (0.8266, 0.3396, 0.1663)
Y (0.3396, 0.1734, 0.5130)

Values from the calculation:
Its space-group type is I4/m (87). The formation energy comes out at 0.103 eV/atom. The crystal system is tetragonal. The offset from the most stable computed form comes out at 15.40 kJ per mole of atoms.



Material: TbTmLuZr
Method: DFT, PBE
State: relaxed

Lattice parameters (Å, degrees): 5.4354 5.4354 5.4354 60.00 60.00 60.00
Last column: magnetic moment on the atom in μB.
Fractional coordinates of all 4 atoms:
Zr (0.7500, 0.7500, 0.7500)  0.76
Tb (0.2500, 0.2500, 0.2500)  0.12
Tm (0.5000, 0.5000, 0.5000)  0.32
Lu (0.0000, 0.0000, 0.0000)  0.25

Values from the calculation:
Its space-group type is F-43m (216). The formation energy comes out at 0.200 eV/atom. The crystal system is cubic.



Material: H2IrCS
Method: DFT, PBE
State: relaxed

Lattice parameters (Å, degrees): 2.9813 8.3213 2.9813 90.00 90.00 90.00
Fractional coordinates of all 5 atoms:
Ir (0.5000, 0.5000, 0.5000)
H (0.0000, 0.0000, 0.5000)
H (0.5000, 0.0000, 0.0000)
C (0.0000, 0.5000, 0.0000)
S (0.0000, 0.0000, 0.0000)

Values from the calculation:
The final energy comes out at -4.9541 eV per atom. Its space-group type is P4/mmm (123). The crystal system is tetragonal.